The following is a DFT calculation (PBE) of crystalline AcTe2Rh at its relaxed geometry.

Calculated values
- Formation energy (no corrections): -372 meV/atom
- Energy relative to the lowest polymorph listed for this composition: 0 meV per atom
- DOS(E_F): 2.47 states/eV/f.u.

Cell lengths 4.0819, 4.0819, 27.7291 Å; angles 90.00, 90.00, 120.00 degrees
Space group R-3m (No. 166, hexagonal axes)
One atom of each set of equivalent atoms:
Ac 0.0000 0.0000 0.0000 (multiplicity 3)
Te 0.0000 0.0000 0.1192 (multiplicity 6)
Rh 0.0000 0.0000 0.5000 (multiplicity 3)